1.
# Tl2Rh3S2

Tl2Rh3S2 after structural relaxation (PBEsol, the Alexandria database).

## Properties
calculated density	10.25	Mg/m³
magnetization	0.00	μB/f.u.
VASP energy	-5.841	eV/atom

Lattice parameters (Å, degrees): 5.625 5.625 5.647 60.13 60.13 60.00
Fractional positions:
1 Tl 0.000 0.000 0.000
2 Tl 0.500 0.500 0.500
3 Rh 0.500 0.500 0.000
4 Rh 0.500 0.000 0.000
5 Rh 0.000 0.500 0.000
6 S 0.218 0.218 0.346
7 S 0.782 0.782 0.654

---

2.
# ZnRhS2

ZnRhS2 after structural relaxation (PBEsol, the Alexandria database).

## Properties
calculated density	5.80	Mg/m³
magnetization	0.00	μB/f.u.
VASP energy	-4.606	eV/atom

Lattice parameters (Å, degrees): 3.235 3.235 7.575 77.67 77.67 60.00
Fractional positions:
1 Zn 0.500 0.500 0.500
2 Rh 0.000 0.000 0.000
3 S 0.901 0.901 0.298
4 S 0.099 0.099 0.702

---

3.
# Zr3RhS

Zr3RhS after structural relaxation (PBEsol, the Alexandria database).

## Properties
calculated density	6.65	Mg/m³
magnetization	0.00	μB/f.u.
VASP energy	-8.363	eV/atom

Lattice parameters (Å, degrees): 4.673 4.673 4.673 90.00 90.00 90.00
Fractional positions:
1 S 0.000 0.000 0.000
2 Rh 0.500 0.500 0.500
3 Zr 0.000 0.500 0.000
4 Zr 0.000 0.000 0.500
5 Zr 0.500 0.000 0.000